Entry from Alexandria via LeMat-Bulk: an optimized crystal structure of CaDyPb2 (PBE).

Values from the calculation:
magnetic moment: 0.000 μB per formula unit
formation enthalpy at 0 K: -0.48 eV/atom
E: -0.1465 hartree per atom

Lattice parameters (Å, degrees): 3.5684 3.5684 9.1115 90.00 90.00 90.00
Sites, in units of the cell vectors:
Pb: 0.0000 0.0000 0.2451
Pb: 0.0000 0.0000 0.7549
Dy: 0.5000 0.5000 0.0000
Ca: 0.5000 0.5000 0.5000



Entry from Alexandria via LeMat-Bulk: an optimized crystal structure of YH2F2 (PBE).

Values from the calculation:
magnetic moment: 0.000 μB per formula unit
E: -0.1658 hartree per atom

Lattice parameters (Å, degrees): 2.9432 2.9432 7.7170 79.01 79.01 90.00
Sites, in units of the cell vectors:
F: 0.5798 0.5798 0.8403
H: 0.2500 0.7500 0.5000
F: 0.4202 0.4202 0.1597
H: 0.7500 0.2500 0.5000
Y: 0.0000 0.0000 0.0000



Entry from Alexandria via LeMat-Bulk: an optimized crystal structure of Nd4DyPa3P8 (PBE).

Values from the calculation:
magnetic moment: 0.000 μB per formula unit
formation enthalpy at 0 K: -1.47 eV/atom
E: -0.2733 hartree per atom

Lattice parameters (Å, degrees): 8.1116 8.1439 8.1132 119.89 119.99 90.00
Sites, in units of the cell vectors:
P: 0.7447 0.7340 0.4893
Pa: 0.5000 0.5000 0.0000
P: 0.2553 0.2660 0.5107
P: 0.2465 0.7337 0.9872
Nd: 0.5000 0.0000 0.0000
P: 0.7535 0.2663 0.0128
Nd: 0.0000 0.0000 0.5000
P: 0.7535 0.2663 0.5070
Nd: 0.5000 0.0000 0.5000
P: 0.2465 0.7337 0.4930
Nd: 0.0000 0.0000 0.0000
P: 0.2593 0.2663 0.0128
Pa: 0.0000 0.5000 0.5000
P: 0.7407 0.7337 0.9872
Dy: 0.0000 0.5000 0.0000
Pa: 0.5000 0.5000 0.5000



Entry from Alexandria via LeMat-Bulk: an optimized crystal structure of HfTi2BRh (PBE).

Values from the calculation:
magnetic moment: 0.521 μB per formula unit
formation enthalpy at 0 K: 1.03 eV/atom
E: -0.2543 hartree per atom

Lattice parameters (Å, degrees): 4.5744 5.0260 4.5744 90.00 90.00 90.00
Site moments in Bohr magnetons follow the coordinates.
Sites, in units of the cell vectors:
B: 0.5000 0.5000 0.5000  -0.02
Rh: 0.0000 0.0000 0.0000  -0.02
Ti: 0.0000 0.0000 0.5000  0.12
Ti: 0.5000 0.0000 0.0000  0.26
Hf: 0.0000 0.5000 0.0000  0.06



Entry from Alexandria via LeMat-Bulk: an optimized crystal structure of BC5 (PBE).

Values from the calculation:
magnetic moment: 0.000 μB per formula unit
formation enthalpy at 0 K: 0.25 eV/atom
E: -0.3142 hartree per atom
polymorph energy (0 for the lowest one): 42 meV per atom

Lattice parameters (Å, degrees): 2.5353 3.6825 7.7470 89.47 90.00 90.00
Sites, in units of the cell vectors:
B: 0.5000 0.5035 0.5050
C: 0.5000 0.7537 0.6734
C: 0.5000 0.4972 0.8339
C: 0.0000 0.2220 0.5013
C: 0.5000 0.7520 0.9954
B: 0.0000 0.2465 0.1617
C: 0.5000 0.7619 0.3239
C: 0.0000 0.2528 0.8328
C: 0.0000 0.9881 0.3428
C: 0.5000 0.5280 0.1654
C: 0.0000 0.9963 0.9933
C: 0.0000 0.9980 0.6713



Entry from Alexandria via LeMat-Bulk: an optimized crystal structure of MnTlPdRh (PBE).

Values from the calculation:
magnetic moment: 4.511 μB per formula unit
formation enthalpy at 0 K: -0.09 eV/atom
E: -0.2245 hartree per atom

Lattice parameters (Å, degrees): 4.5419 4.5419 4.5419 60.00 60.00 60.00
Site moments in Bohr magnetons follow the coordinates.
Sites, in units of the cell vectors:
Pd: 0.5000 0.5000 0.5000  0.16
Mn: 0.2500 0.2500 0.2500  3.90
Rh: 0.0000 0.0000 0.0000  0.31
Tl: 0.7500 0.7500 0.7500  -0.02



Entry from Alexandria via LeMat-Bulk: an optimized crystal structure of Fe2WBr (PBE).

Values from the calculation:
magnetic moment: 4.936 μB per formula unit
E: -0.2689 hartree per atom
polymorph energy (0 for the lowest one): 100 meV per atom

Lattice parameters (Å, degrees): 8.1834 8.1834 8.1834 21.21 21.21 21.21
Site moments in Bohr magnetons follow the coordinates.
Sites, in units of the cell vectors:
Fe: 0.5030 0.5030 0.5030  2.47
W: 0.2500 0.2500 0.2500  -0.18
Fe: 0.9970 0.9970 0.9970  2.47
Br: 0.7500 0.7500 0.7500  0.16



Entry from Alexandria via LeMat-Bulk: an optimized crystal structure of NdInGa (PBE).

Values from the calculation:
magnetic moment: 0.000 μB per formula unit
formation enthalpy at 0 K: -0.50 eV/atom
E: -0.1475 hartree per atom

Lattice parameters (Å, degrees): 4.1725 4.4778 8.6443 105.01 90.00 90.00
Sites, in units of the cell vectors:
Ga: 0.2500 0.5443 0.0885
Nd: 0.7500 0.0932 0.1865
Ga: 0.7500 0.4557 0.9115
Nd: 0.2500 0.9068 0.8135
In: 0.2500 0.7127 0.4253
In: 0.7500 0.2873 0.5747